Entry 1:
The following is a DFT calculation (PBE+U) of NiBF5 after structural relaxation.

density	3.2	g cm⁻³
total magnetization	2.0	μB per formula unit
raw total energy	-5.192	eV per atom

a b c (Å): 7.4162 7.2590 7.2566
angles (deg): 90.00 119.13 90.00
Space group C2/c (No. 15)
Unique sites:
Ni1 0.0000 0.0000 0.0000 [4 per cell]
B1 0.0000 0.3879 0.2500 [4 per cell]
F1 0.0000 0.0866 0.7500 [4 per cell]
F2 0.0013 0.2762 0.4113 [8 per cell]
F3 0.1765 0.4980 0.8375 [8 per cell]



Entry 2:
The following is a DFT calculation (PBE+U) of NiB3F after structural relaxation.

density	3.5	g cm⁻³
total magnetization	0.0	μB per formula unit
raw total energy	-3.981	eV per atom
energy above the lowest structure with this stoichiometry	0	meV per atom

a b c (Å): 3.7299 3.7299 3.7299
angles (deg): 90.00 90.00 90.00
Space group Pm-3m (No. 221)
Unique sites:
Ni1 0.0000 0.0000 0.0000 [1 per cell]
B1 0.0000 0.0000 0.5000 [3 per cell]
F1 0.5000 0.5000 0.5000 [1 per cell]



Entry 3:
The following is a DFT calculation (PBE+U) of Ni2BF after structural relaxation.

density	7.0	g cm⁻³
total magnetization	0.0	μB per formula unit
raw total energy	-2.756	eV per atom
energy above the lowest structure with this stoichiometry	189	meV per atom

a b c (Å): 5.1816 5.1816 5.1816
angles (deg): 90.00 90.00 90.00
Space group Fm-3m (No. 225)
Unique sites:
Ni1 0.2500 0.2500 0.2500 [8 per cell]
B1 0.0000 0.0000 0.0000 [4 per cell]
F1 0.0000 0.0000 0.5000 [4 per cell]



Entry 4:
The following is a DFT calculation (PBE+U) of Ni3BF after structural relaxation.

density	6.0	g cm⁻³
total magnetization	1.5	μB per formula unit
raw total energy	-2.509	eV per atom
energy above the lowest structure with this stoichiometry	0	meV per atom

a b c (Å): 3.8415 3.8415 3.8415
angles (deg): 90.00 90.00 90.00
Space group Pm-3m (No. 221)
Unique sites:
Ni1 0.0000 0.0000 0.5000 [3 per cell]
B1 0.0000 0.0000 0.0000 [1 per cell]
F1 0.5000 0.5000 0.5000 [1 per cell]



Entry 5:
The following is a DFT calculation (PBE+U) of NiB2F2 after structural relaxation.

density	3.5	g cm⁻³
total magnetization	1.8	μB per formula unit
raw total energy	-3.993	eV per atom
energy above the lowest structure with this stoichiometry	0	meV per atom

a b c (Å): 2.5767 2.5767 16.9817
angles (deg): 90.00 90.00 90.00
Space group I4/mmm (No. 139)
Unique sites:
Ni1 0.0000 0.0000 0.0000 [2 per cell]
B1 0.0000 0.5000 0.2500 [4 per cell]
F1 0.0000 0.0000 0.4315 [4 per cell]



Entry 6:
The following is a DFT calculation (PBE+U) of NiB2F after structural relaxation.

density	4.7	g cm⁻³
total magnetization	0.0	μB per formula unit
raw total energy	-3.026	eV per atom
energy above the lowest structure with this stoichiometry	510	meV per atom

a b c (Å): 5.2138 5.2138 5.2138
angles (deg): 90.00 90.00 90.00
Space group Fm-3m (No. 225)
Unique sites:
Ni1 0.0000 0.0000 0.0000 [4 per cell]
B1 0.2500 0.2500 0.2500 [8 per cell]
F1 0.0000 0.0000 0.5000 [4 per cell]



Entry 7:
The following is a DFT calculation (PBE+U) of NiB3F after structural relaxation.

density	3.8	g cm⁻³
total magnetization	0.0	μB per formula unit
raw total energy	-2.734	eV per atom
energy above the lowest structure with this stoichiometry	1247	meV per atom

a b c (Å): 3.6459 3.6459 3.6459
angles (deg): 90.00 90.00 90.00
Space group Pm-3m (No. 221)
Unique sites:
Ni1 0.0000 0.0000 0.0000 [1 per cell]
B1 0.0000 0.5000 0.5000 [3 per cell]
F1 0.5000 0.5000 0.5000 [1 per cell]



Entry 8:
The following is a DFT calculation (PBE+U) of NiB2F after structural relaxation.

density	3.8	g cm⁻³
total magnetization	0.0	μB per formula unit
raw total energy	-3.536	eV per atom
energy above the lowest structure with this stoichiometry	0	meV per atom

a b c (Å): 4.6738 4.6738 7.9903
angles (deg): 90.00 90.00 90.00
Space group I-42d (No. 122)
Unique sites:
Ni1 0.0000 0.0000 0.0000 [4 per cell]
B1 0.2276 0.2500 0.1250 [8 per cell]
F1 0.0000 0.0000 0.5000 [4 per cell]



Entry 9:
The following is a DFT calculation (PBE+U) of NiB2F2 after structural relaxation.

density	3.7	g cm⁻³
total magnetization	1.4	μB per formula unit
raw total energy	-3.643	eV per atom
energy above the lowest structure with this stoichiometry	350	meV per atom

a b c (Å): 6.7450 6.7450 2.3193
angles (deg): 90.00 90.00 90.00
Space group P4/mbm (No. 127)
Unique sites:
Ni1 0.0000 0.0000 0.0000 [2 per cell]
B1 0.2232 0.2768 0.5000 [4 per cell]
F1 0.1169 0.3831 0.0000 [4 per cell]



Entry 10:
The following is a DFT calculation (PBE+U) of Ni2BF after structural relaxation.

density	5.8	g cm⁻³
total magnetization	0.0	μB per formula unit
raw total energy	-2.946	eV per atom
energy above the lowest structure with this stoichiometry	0	meV per atom

a b c (Å): 5.1670 5.1670 6.2919
angles (deg): 90.00 90.00 90.00
Space group I-42d (No. 122)
Unique sites:
Ni1 0.2098 0.7500 0.1250 [8 per cell]
B1 0.0000 0.0000 0.0000 [4 per cell]
F1 0.0000 0.0000 0.5000 [4 per cell]



Entry 11:
The following is a DFT calculation (PBE+U) of NiBOF2 after structural relaxation.

density	3.5	g cm⁻³
total magnetization	2.4	μB per formula unit
raw total energy	-3.771	eV per atom
energy above the lowest structure with this stoichiometry	1099	meV per atom

a b c (Å): 3.9080 3.9080 3.7948
angles (deg): 90.00 90.00 90.00
Space group P4/mmm (No. 123)
Unique sites:
Ni1 0.0000 0.0000 0.0000 [1 per cell]
B1 0.5000 0.5000 0.5000 [1 per cell]
O1 0.0000 0.0000 0.5000 [1 per cell]
F1 0.0000 0.5000 0.0000 [2 per cell]



Entry 12:
The following is a DFT calculation (PBE+U) of NiBOF2 after structural relaxation.

density	4.5	g cm⁻³
total magnetization	1.0	μB per formula unit
raw total energy	-4.870	eV per atom
energy above the lowest structure with this stoichiometry	0	meV per atom

a b c (Å): 4.1594 4.1594 2.6471
angles (deg): 90.00 90.00 90.00
Space group P4/mmm (No. 123)
Unique sites:
Ni1 0.0000 0.0000 0.0000 [1 per cell]
B1 0.5000 0.5000 0.5000 [1 per cell]
O1 0.5000 0.5000 0.0000 [1 per cell]
F1 0.0000 0.5000 0.5000 [2 per cell]